An optimized crystal structure of CdAgIr2. Source: Alexandria via LeMat-Bulk, functional PBE-GGA.

POSCAR file:
```
CdAgIr2
1.0
-2.156 -0.885 1.586
1.780 -1.525 1.568
1.085 6.533 5.121
Ir Ag Cd
2 1 1
direct
0.000 0.000 0.022 Ir
0.500 0.500 0.230 Ir
0.000 0.000 0.487 Ag
0.500 0.500 0.762 Cd
```

Computed properties:
Total DFT energy (no corrections): -5.238 eV per atom
Theoretical density: 15.1 g/cm3
Density of states at the Fermi level: 2.2 states/eV/f.u.
Total moment: 0.0 Bohr magnetons per cell